The following is a GGA-PBE calculation of a relaxed SmAgAs2 crystal, from Alexandria.

Output
Crystal system: tetragonal
Energy relative to the elements in meV per atom: -572
D(E_F) in states/eV/atom: 0.560
Calculated volume in Å³/cell: 85

Cell: 4.6383 4.6383 3.9611 Å, 90.00 90.00 90.00°
Closest atoms and distances in Å follow each position.
Element x y z (fractional)
Sm  0.0000  0.0000  0.0000  8 As 3.05, 4 Ag 3.28
Ag  0.5000  0.5000  0.0000  8 As 3.05, 4 Sm 3.28
As  0.0000  0.5000  0.5000  4 Sm 3.05, 4 Ag 3.05, 4 As 3.28
As  0.5000  0.0000  0.5000  4 Sm 3.05, 4 Ag 3.05, 4 As 3.28



The following is a GGA-PBE calculation of a relaxed PuHfPd crystal, from Alexandria.

Output
Crystal system: trigonal
Offset from the most stable computed form in eV per formula unit: 0.43
Energy relative to the elements in meV per atom: -118
D(E_F) in states/eV/atom: 2.259
Calculated volume in Å³/cell: 62

Cell: 4.8133 4.8133 3.0803 Å, 90.00 90.00 120.00°
Closest atoms and distances in Å follow each position.
Element x y z (fractional)
Pu  0.0000  0.0000  0.0000  3 Pd 2.96, 3 Hf 3.01, 2 Pu 3.08
Hf  0.3333  0.6667  0.6266  3 Pd 2.92, 3 Pu 3.01, 2 Hf 3.08
Pd  0.6667  0.3333  0.3354  3 Hf 2.92, 3 Pu 2.96, 2 Pd 3.08



The following is a GGA-PBE calculation of a relaxed AlPdO2 crystal, from Alexandria.

Output
Crystal system: trigonal
Raw formation energy in eV per atom: -1.9928
D(E_F) in states/eV/atom: 0.125
Calculated volume in Å³/cell: 129

Cell: 2.8659 2.8659 18.0958 Å, 90.00 90.00 120.00°
Closest atoms and distances in Å follow each position.
Element x y z (fractional)
Al  0.0000  0.0000  0.0000  6 O 1.92
Al  0.3333  0.6667  0.6667  6 O 1.92
Al  0.6667  0.3333  0.3333  6 O 1.92
Pd  0.0000  0.0000  0.5000  2 O 2.05
Pd  0.3333  0.6667  0.1667  2 O 2.05
Pd  0.6667  0.3333  0.8333  2 O 2.05
O  0.0000  0.0000  0.3866  3 Al 1.92, 1 Pd 2.05
O  0.0000  0.0000  0.6134  3 Al 1.92, 1 Pd 2.05
O  0.3333  0.6667  0.0533  3 Al 1.92, 1 Pd 2.05
O  0.3333  0.6667  0.2800  3 Al 1.92, 1 Pd 2.05
O  0.6667  0.3333  0.7200  3 Al 1.92, 1 Pd 2.05
O  0.6667  0.3333  0.9467  3 Al 1.92, 1 Pd 2.05



The following is a GGA-PBE calculation of a relaxed LiCaIn2 crystal, from Alexandria.

Output
Crystal system: tetragonal
Energy relative to the elements in meV per atom: -376
D(E_F) in states/eV/atom: 0.572
Calculated volume in Å³/cell: 96

Cell: 3.5684 3.5684 7.5350 Å, 90.00 90.00 90.00°
Closest atoms and distances in Å follow each position.
Element x y z (fractional)
Li  0.0000  0.0000  0.0000  8 In 2.96
Ca  0.0000  0.0000  0.5000  8 In 3.37, 4 Ca 3.57, 2 Li 3.77
In  0.5000  0.5000  0.2044  4 Li 2.96, 1 In 3.08
In  0.5000  0.5000  0.7956  4 Li 2.96, 1 In 3.08



The following is a GGA-PBE calculation of a relaxed BaZn2Ge2 crystal, from Alexandria.

Output
Crystal system: tetragonal
Energy relative to the elements in meV per atom: 22
D(E_F) in states/eV/atom: 0.438
Calculated volume in Å³/cell: 224

Cell: 8.3205 8.3205 3.2302 Å, 90.00 90.00 90.00°
Closest atoms and distances in Å follow each position.
Element x y z (fractional)
Ba  0.0000  0.0000  0.0000  2 Ba 3.23, 4 Ge 3.27, 8 Zn 3.57
Ba  0.5000  0.5000  0.0000  2 Ba 3.23, 4 Ge 3.27, 8 Zn 3.57
Zn  0.1461  0.3539  0.5000  6 Ge 2.81-3.10
Zn  0.3539  0.8539  0.5000  6 Ge 2.81-3.10
Zn  0.6461  0.1461  0.5000  6 Ge 2.81-3.10
Zn  0.8539  0.6461  0.5000  6 Ge 2.81-3.10
Ge  0.1291  0.6291  0.0000  6 Zn 2.81-3.10, 1 Ge 3.04
Ge  0.3709  0.1291  0.0000  6 Zn 2.81-3.10, 1 Ge 3.04
Ge  0.6291  0.8709  0.0000  6 Zn 2.81-3.10, 1 Ge 3.04
Ge  0.8709  0.3709  0.0000  6 Zn 2.81-3.10, 1 Ge 3.04



The following is a GGA-PBE calculation of a relaxed PuZnFeIr crystal, from Alexandria.

Output
Crystal system: cubic
Energy relative to the elements in meV per atom: -180
D(E_F) in states/eV/atom: 1.209
Calculated volume in Å³/cell: 263

Cell: 6.4092 6.4092 6.4092 Å, 90.00 90.00 90.00°
Closest atoms and distances in Å follow each position.
Element x y z (fractional)
Pu  0.0000  0.0000  0.0000  4 Fe 2.78, 4 Ir 2.78
Pu  0.0000  0.5000  0.5000  4 Fe 2.78, 4 Ir 2.78
Pu  0.5000  0.0000  0.5000  4 Fe 2.78, 4 Ir 2.78
Pu  0.5000  0.5000  0.0000  4 Fe 2.78, 4 Ir 2.78
Zn  0.0000  0.0000  0.5000  4 Fe 2.78, 4 Ir 2.78
Zn  0.0000  0.5000  0.0000  4 Fe 2.78, 4 Ir 2.78
Zn  0.5000  0.0000  0.0000  4 Fe 2.78, 4 Ir 2.78
Zn  0.5000  0.5000  0.5000  4 Fe 2.78, 4 Ir 2.78
Fe  0.2500  0.2500  0.7500  4 Pu 2.78, 4 Zn 2.78
Fe  0.2500  0.7500  0.2500  4 Pu 2.78, 4 Zn 2.78
Fe  0.7500  0.2500  0.2500  4 Pu 2.78, 4 Zn 2.78
Fe  0.7500  0.7500  0.7500  4 Pu 2.78, 4 Zn 2.78
Ir  0.2500  0.2500  0.2500  4 Pu 2.78, 4 Zn 2.78
Ir  0.2500  0.7500  0.7500  4 Pu 2.78, 4 Zn 2.78
Ir  0.7500  0.2500  0.7500  4 Pu 2.78, 4 Zn 2.78
Ir  0.7500  0.7500  0.2500  4 Pu 2.78, 4 Zn 2.78



One value per record, in order, for calculated density: 7952; 14211; 6401; 4788; 6140; 14065 kg/m3.